This record from the Alexandria database describes MnAl2Fe after structural relaxation. The functional is GGA-PBEsol.

As for the density of states at the Fermi level: 4.17 states/eV/cell. The calculation puts the energy of formation at -0.2468 eV per atom. The total magnetization is 2.52 Bohr magnetons per cell.

It has space group Pmm2 (No. 25), with a = 2.953 Å, b = 4.021 Å, c = 4.021 Å, α = 90.00°, β = 90.00° and γ = 90.00°. The distinct sites, in fractional coordinates, are Mn at (0.000, 0.000, 0.000), Al at (0.500, 0.000, 0.500), Al at (0.500, 0.500, 0.002) and Fe at (0.000, 0.500, 0.502).

***

This record from the Alexandria database describes RbBeInH2 after structural relaxation. The functional is GGA-PBEsol.

The uncorrected energy comes out at -1.610 eV/atom. As for the density of states at the Fermi level: 3.13 states/eV/cell. The total magnetization is 0.00 Bohr magnetons per cell.

It has space group P4/mmm (No. 123), with a = 4.147 Å, b = 4.147 Å, c = 7.644 Å, α = 90.00°, β = 90.00° and γ = 90.00°. The distinct sites, in fractional coordinates, are Rb at (0.000, 0.000, 0.000), Be at (0.500, 0.500, 0.500), In at (0.000, 0.000, 0.500) and H at (0.000, 0.500, 0.000).

***

This record from the Alexandria database describes SbOsCl after structural relaxation. The functional is GGA-PBEsol.

As for the density of states at the Fermi level: 5.51 states/eV/cell. The value obtained for the energy relative to the elements, uncorrected is 0.482 eV per atom. The total magnetization is 0.00 Bohr magnetons per cell.

It has space group I4mm (No. 107), with a = 3.072 Å, b = 3.072 Å, c = 12.884 Å, α = 90.00°, β = 90.00° and γ = 90.00°. The distinct sites, in fractional coordinates, are Sb at (0.000, 0.000, 0.000), Os at (0.000, 0.000, 0.370) and Cl at (0.000, 0.000, 0.742).